# TlIn2Ni

A relaxed TlIn2Ni crystal (PBE-GGA, Alexandria).

Unit cell a=5.0243 b=5.0243 c=5.0243 alpha=60.00 beta=60.00 gamma=60.00
Atoms (fractional coordinates):
In: 0.0000 0.0000 0.0000
In: 0.2500 0.2500 0.2500
Ni: 0.5000 0.5000 0.5000
Tl: 0.7500 0.7500 0.7500

**Spin magnetization**: 0.0 μB per formula unit
**Energy relative to the lowest polymorph listed for this composition**: 296 meV/atom

***

# TlIn2Ni

A relaxed TlIn2Ni crystal (PBE-GGA, Alexandria).

Unit cell a=3.4178 b=6.4305 c=6.4287 alpha=45.76 beta=90.00 gamma=90.00
Atoms (fractional coordinates):
In: 0.0000 0.9986 0.9986
In: 0.5000 0.3320 0.3321
Ni: 0.0000 0.4963 0.4964
Tl: 0.5000 0.6731 0.6729

**Spin magnetization**: 0.0 μB per formula unit
**Energy relative to the lowest polymorph listed for this composition**: 77 meV/atom

***

# Tl3InNi

A relaxed Tl3InNi crystal (PBE-GGA, Alexandria).

Unit cell a=5.7461 b=5.7461 c=5.7461 alpha=90.00 beta=90.00 gamma=90.00
Atoms (fractional coordinates):
Ni: 0.5000 0.5000 0.5000
Tl: 0.0000 0.5000 0.0000
Tl: 0.0000 0.0000 0.5000
Tl: 0.5000 0.0000 0.0000
In: 0.0000 0.0000 0.0000

**Spin magnetization**: 0.0 μB per formula unit
**Energy relative to the lowest polymorph listed for this composition**: 800 meV/atom

***

# TlIn2Ni

A relaxed TlIn2Ni crystal (PBE-GGA, Alexandria).

Unit cell a=8.8152 b=8.8152 c=6.7430 alpha=49.18 beta=49.18 gamma=90.00
Atoms (fractional coordinates):
Ni: 0.5000 0.5000 0.0000
Ni: 0.2500 0.7500 0.5000
Tl: 0.0000 0.0000 0.0000
Tl: 0.7500 0.2500 0.5000
In: 0.5232 0.1250 0.2500
In: 0.2268 0.6250 0.2500
In: 0.3750 0.4768 0.7500
In: 0.8750 0.7732 0.7500

**Spin magnetization**: 0.0 μB per formula unit
**Energy relative to the lowest polymorph listed for this composition**: 92 meV/atom

***

# TlIn2Ni

A relaxed TlIn2Ni crystal (PBE-GGA, Alexandria).

Unit cell a=3.3947 b=6.3107 c=6.3097 alpha=47.51 beta=90.00 gamma=90.00
Atoms (fractional coordinates):
In: 0.0000 0.0766 0.0765
In: 0.0000 0.4234 0.4235
Ni: 0.5000 0.2500 0.2500
Tl: 0.5000 0.7500 0.7500

**Spin magnetization**: 0.0 μB per formula unit
**Energy relative to the lowest polymorph listed for this composition**: 50 meV/atom

***

# Y3Tl2In3Ni

A relaxed Y3Tl2In3Ni crystal (PBE-GGA, Alexandria).

Unit cell a=4.3901 b=7.5915 c=7.5915 alpha=120.00 beta=90.00 gamma=90.00
Atoms (fractional coordinates):
Y: 0.0000 0.0000 0.3889
Y: 0.0000 0.6111 0.6111
Y: 0.0000 0.3889 0.0000
Tl: 0.5000 0.3333 0.6667
Tl: 0.5000 0.6667 0.3333
In: 0.5000 0.7678 0.0000
In: 0.5000 0.2322 0.2322
In: 0.5000 0.0000 0.7678
Ni: 0.0000 0.0000 0.0000

**DFT total energy**: -41.8 eV for the cell shown
**Spin magnetization**: 0.0 μB per formula unit

***

# Y2TlInNi

A relaxed Y2TlInNi crystal (PBE-GGA, Alexandria).

Unit cell a=5.2175 b=5.2175 c=4.8817 alpha=90.00 beta=90.00 gamma=90.00
Atoms (fractional coordinates):
Y: 0.0000 0.5000 0.0000
Y: 0.5000 0.0000 0.0000
Ni: 0.0000 0.0000 0.0000
Tl: 0.5000 0.5000 0.5000
In: 0.0000 0.0000 0.5000

**DFT total energy**: -25.1 eV for the cell shown
**Spin magnetization**: 0.0 μB per formula unit

***

# Tm5In4Ni2

A relaxed Tm5In4Ni2 crystal (PBE-GGA, Alexandria).

Unit cell a=3.5752 b=7.8915 c=17.7557 alpha=90.00 beta=90.00 gamma=90.00
Atoms (fractional coordinates):
Tm: 0.0000 0.5000 0.5000
Tm: 0.0000 0.0000 0.0000
Tm: 0.0000 0.7485 0.2788
Tm: 0.0000 0.2515 0.7212
Tm: 0.0000 0.7515 0.7788
Tm: 0.0000 0.2485 0.2212
Tm: 0.0000 0.6160 0.0884
Tm: 0.0000 0.3840 0.9116
Tm: 0.0000 0.8840 0.5884
Tm: 0.0000 0.1160 0.4116
In: 0.5000 0.7057 0.9317
In: 0.5000 0.2943 0.0683
In: 0.5000 0.7943 0.4317
In: 0.5000 0.2057 0.5683
In: 0.5000 0.5722 0.6514
In: 0.5000 0.4278 0.3486
In: 0.5000 0.9278 0.1514
In: 0.5000 0.0722 0.8486
Ni: 0.5000 0.5290 0.1961
Ni: 0.5000 0.4710 0.8039
Ni: 0.5000 0.9710 0.6961
Ni: 0.5000 0.0290 0.3039

**DFT total energy**: -101.3 eV for the cell shown
**Spin magnetization**: 0.0 μB per formula unit

***

# TmInNi2

A relaxed TmInNi2 crystal (PBE-GGA, Alexandria).

Unit cell a=3.6827 b=3.9729 c=5.1537 alpha=90.00 beta=110.99 gamma=90.00
Atoms (fractional coordinates):
Tm: 0.7280 0.0000 0.9950
In: 0.4366 0.5000 0.4121
Ni: 0.1549 0.5000 0.8490
Ni: 0.0116 0.0000 0.5618

**DFT total energy**: -20.4 eV for the cell shown
**Spin magnetization**: 0.0 μB per formula unit

***

# Tm8InNi2

A relaxed Tm8InNi2 crystal (PBE-GGA, Alexandria).

Unit cell a=5.2152 b=7.8454 c=7.8454 alpha=113.81 beta=97.61 gamma=97.61
Atoms (fractional coordinates):
Tm: 0.9232 0.9258 0.6684
Tm: 0.9232 0.6684 0.9258
Tm: 0.3028 0.6095 0.6095
Tm: 0.5000 0.7511 0.2489
Tm: 0.5000 0.2489 0.7511
Tm: 0.6972 0.3906 0.3906
Tm: 0.0768 0.3316 0.0742
Tm: 0.0768 0.0742 0.3316
In: 0.5000 0.0000 0.0000
Ni: 0.0000 0.3076 0.6924
Ni: 0.0000 0.6924 0.3076

**DFT total energy**: -52.2 eV for the cell shown
**Spin magnetization**: 0.0 μB per formula unit

***

# Tm3InNi2

A relaxed Tm3InNi2 crystal (PBE-GGA, Alexandria).

Unit cell a=3.3947 b=3.3947 c=10.8459 alpha=90.00 beta=90.00 gamma=90.00
Atoms (fractional coordinates):
Tm: 0.0000 0.0000 0.0000
Tm: 0.0000 0.0000 0.7000
Tm: 0.0000 0.0000 0.3000
In: 0.5000 0.5000 0.5000
Ni: 0.5000 0.5000 0.8452
Ni: 0.5000 0.5000 0.1548

**DFT total energy**: -30.5 eV for the cell shown
**Spin magnetization**: 0.0 μB per formula unit

***

# Tm8In2Ni

A relaxed Tm8In2Ni crystal (PBE-GGA, Alexandria).

Unit cell a=5.2079 b=6.6316 c=9.4098 alpha=108.91 beta=106.07 gamma=90.00
Atoms (fractional coordinates):
Tm: 0.4091 0.5758 0.8182
Tm: 0.6417 0.9531 0.2833
Tm: 0.7945 0.7122 0.5890
Tm: 0.9843 0.2191 0.9686
Tm: 0.2055 0.2878 0.4110
Tm: 0.3583 0.0469 0.7167
Tm: 0.5909 0.4242 0.1818
Tm: 0.0157 0.7809 0.0314
In: 0.8192 0.2740 0.6383
In: 0.1808 0.7260 0.3617
Ni: 0.5000 0.0000 0.0000

**DFT total energy**: -49.4 eV for the cell shown
**Spin magnetization**: 0.0 μB per formula unit